[1]
An optimized crystal structure of NpAl4Cd. Source: Alexandria via LeMat-Bulk, functional PBE.

Results
Space-group type: F-43m
Total DFT energy (no corrections): -28.32 eV/cell

abc: 5.5126 5.5126 5.5126
angles: 60.00 60.00 60.00
Closest atoms and distances in Å follow each position.
Positions (direct):
1 Np 0.2500 0.2500 0.2500  12 Al 3.23, 4 Cd 3.38
2 Al 0.6239 0.6239 0.1284  6 Al 2.73-2.78
3 Al 0.6239 0.1284 0.6239  6 Al 2.73-2.78
4 Al 0.6239 0.6239 0.6239  6 Al 2.73-2.78
5 Al 0.1284 0.6239 0.6239  6 Al 2.73-2.78
6 Cd 0.0000 0.0000 0.0000  12 Al 3.23, 4 Np 3.38

[2]
An optimized crystal structure of NpAl2CdO8. Source: Alexandria via LeMat-Bulk, functional PBE.

Results
Space-group type: Cmmm
Raw formation energy: -2.165 eV/atom

abc: 4.7661 4.7657 6.2022
angles: 90.00 90.00 90.59
Closest atoms and distances in Å follow each position.
Positions (direct):
1 Np 0.0000 0.0000 0.0000  6 O 2.00-2.10
2 Al 0.5000 0.5000 0.7495  6 O 1.90-2.00
3 Al 0.5000 0.5000 0.2505  6 O 1.90-2.00
4 Cd 0.0000 0.0000 0.5000  6 O 2.25
5 O 0.2144 0.7859 0.2220  1 Al 1.94, 1 Np 2.00
6 O 0.6868 0.6866 0.0000  2 Al 2.00, 1 Np 2.10
7 O 0.7856 0.2141 0.2220  1 Al 1.94, 1 Np 2.00
8 O 0.7856 0.2141 0.7780  1 Al 1.94, 1 Np 2.00
9 O 0.3132 0.3134 0.0000  2 Al 2.00, 1 Np 2.10
10 O 0.2144 0.7859 0.7780  1 Al 1.94, 1 Np 2.00
11 O 0.6652 0.6650 0.5000  2 Al 1.90
12 O 0.3348 0.3350 0.5000  2 Al 1.90

[3]
An optimized crystal structure of Al2Cd2O. Source: Alexandria via LeMat-Bulk, functional PBE.

Results
Space-group type: P4/mbm
Energy relative to the lowest polymorph listed for this composition: 0 meV/atom
Raw formation energy: 0.060 eV/atom

abc: 6.1049 6.1049 5.1992
angles: 90.00 90.00 90.00
Closest atoms and distances in Å follow each position.
Positions (direct):
1 Al 0.1574 0.6574 0.5000  1 Al 2.72, 2 Cd 3.03
2 Al 0.6574 0.8426 0.5000  1 Al 2.72, 2 Cd 3.03
3 Al 0.8426 0.3426 0.5000  1 Al 2.72, 2 Cd 3.03
4 Al 0.3426 0.1574 0.5000  1 Al 2.72, 2 Cd 3.03
5 O 0.0000 0.0000 0.0000  4 Cd 2.29
6 O 0.5000 0.5000 0.0000  4 Cd 2.29
7 Cd 0.3375 0.8375 0.0000  2 O 2.29
8 Cd 0.8375 0.6625 0.0000  2 O 2.29
9 Cd 0.6625 0.1625 0.0000  2 O 2.29
10 Cd 0.1625 0.3375 0.0000  2 O 2.29

[4]
An optimized crystal structure of AlCdO2. Source: Alexandria via LeMat-Bulk, functional PBE.

Results
Space-group type: Fm-3m
Energy relative to the lowest polymorph listed for this composition: 1383 meV/atom
Raw formation energy: -0.604 eV/atom

abc: 4.0607 4.0607 4.0607
angles: 60.00 60.00 60.00
Closest atoms and distances in Å follow each position.
Positions (direct):
1 Al 0.0000 0.0000 0.0000  8 O 2.49
2 O 0.2500 0.2500 0.2500  4 Cd 2.49, 4 Al 2.49
3 O 0.7500 0.7500 0.7500  4 Cd 2.49, 4 Al 2.49
4 Cd 0.5000 0.5000 0.5000  8 O 2.49

[5]
An optimized crystal structure of AlCd2O. Source: Alexandria via LeMat-Bulk, functional PBE.

Results
Space-group type: I-42d
Energy relative to the lowest polymorph listed for this composition: 0 meV/atom
Raw formation energy: -0.196 eV/atom

abc: 6.3443 6.3443 6.1756
angles: 59.09 59.09 90.00
Closest atoms and distances in Å follow each position.
Positions (direct):
1 Al 0.0000 0.0000 0.0000  4 Cd 2.77
2 Al 0.7500 0.2500 0.5000  4 Cd 2.77
3 O 0.5000 0.5000 0.0000  4 Cd 2.23
4 O 0.2500 0.7500 0.5000  4 Cd 2.23
5 Cd 0.5578 0.1250 0.2500  2 O 2.23
6 Cd 0.1922 0.6250 0.2500  2 O 2.23
7 Cd 0.3750 0.4422 0.7500  2 O 2.23
8 Cd 0.8750 0.8078 0.7500  2 O 2.23

[6]
An optimized crystal structure of Al3CdO. Source: Alexandria via LeMat-Bulk, functional PBE.

Results
Space-group type: Pm-3m
Energy relative to the lowest polymorph listed for this composition: 1197 meV/atom
Raw formation energy: 0.941 eV/atom

abc: 4.9634 4.9634 4.9634
angles: 90.00 90.00 90.00
Closest atoms and distances in Å follow each position.
Positions (direct):
1 Al 0.0000 0.5000 0.0000  2 Cd 2.48
2 Al 0.0000 0.0000 0.5000  2 Cd 2.48
3 Al 0.5000 0.0000 0.0000  2 Cd 2.48
4 O 0.5000 0.5000 0.5000  12 Al 3.51
5 Cd 0.0000 0.0000 0.0000  6 Al 2.48

[7]
An optimized crystal structure of Al22CdO34. Source: Alexandria via LeMat-Bulk, functional PBE.

Results
Space-group type: P2_1/m
Raw formation energy: -2.913 eV/atom

abc: 9.7790 11.3204 11.7670
angles: 90.00 105.47 90.00
Closest atoms and distances in Å follow each position.
Positions (direct):
1 Al 0.0000 0.0000 0.0000  6 O 1.91
2 Al 0.6544 0.1248 0.2164  4 O 1.81-2.00
3 Al 0.9012 0.0008 0.2167  4 O 1.81-2.01
4 Al 0.4998 0.2500 0.0004  6 O 1.90-1.91
5 Al 0.6497 0.0014 0.9498  4 O 1.81-1.83
6 Al 0.5535 0.0002 0.6484  4 O 1.68-1.83
7 Al 0.4465 0.9998 0.3516  4 O 1.68-1.83
8 Al 0.1506 0.3762 0.2071  6 O 1.82-2.01
9 Al 0.1506 0.1238 0.2071  6 O 1.82-2.01
10 Al 0.4014 0.2500 0.2126  4 O 1.81-1.99
11 Al 0.0000 0.5000 0.0000  6 O 1.91
12 Al 0.3503 0.9986 0.0502  4 O 1.81-1.83
13 Al 0.1504 0.2500 0.9464  4 O 1.82-1.84
14 Al 0.0988 0.9992 0.7833  4 O 1.81-2.01
15 Al 0.3481 0.1231 0.7860  6 O 1.82-2.04
16 Al 0.0597 0.2500 0.6477  4 O 1.75-1.78
17 Al 0.9495 0.2500 0.3521  4 O 1.76-1.81
18 Al 0.6519 0.6231 0.2140  6 O 1.82-2.04
19 Al 0.6544 0.3752 0.2164  4 O 1.81-2.00
20 Al 0.9012 0.4992 0.2167  4 O 1.81-2.01
21 Al 0.5002 0.7500 0.9996  6 O 1.90-1.91
22 Al 0.8484 0.2500 0.0477  4 O 1.82-1.83
23 Al 0.6497 0.4986 0.9498  4 O 1.81-1.83
24 Al 0.6001 0.2500 0.7834  4 O 1.82-2.00
25 Al 0.8487 0.3732 0.7809  4 O 1.81-2.01
26 Al 0.8486 0.1268 0.7809  4 O 1.81-2.01
27 Al 0.5535 0.4998 0.6484  4 O 1.68-1.83
28 Al 0.4465 0.5002 0.3516  4 O 1.68-1.83
29 Al 0.1514 0.8732 0.2191  4 O 1.81-2.01
30 Al 0.1513 0.6268 0.2191  4 O 1.81-2.01
31 Al 0.3999 0.7500 0.2166  4 O 1.82-2.00
32 Al 0.3503 0.5014 0.0502  4 O 1.81-1.83
33 Al 0.1516 0.7500 0.9523  4 O 1.82-1.83
34 Al 0.0988 0.5008 0.7833  4 O 1.81-2.01
35 Al 0.3456 0.6248 0.7836  4 O 1.81-2.00
36 Al 0.3481 0.3769 0.7860  6 O 1.82-2.04
37 Al 0.0505 0.7500 0.6479  4 O 1.76-1.81
38 Al 0.9403 0.7500 0.3523  4 O 1.75-1.78
39 Al 0.6519 0.8769 0.2140  6 O 1.82-2.04
40 Al 0.8496 0.7500 0.0536  4 O 1.82-1.84
41 Al 0.5986 0.7500 0.7874  4 O 1.81-1.99
42 Al 0.8494 0.6238 0.7929  6 O 1.82-2.01
43 Al 0.8494 0.8762 0.7929  6 O 1.82-2.01
44 Al 0.3456 0.8752 0.7836  4 O 1.81-2.00
45 Cd 0.2811 0.2500 0.4653  4 O 2.33-2.56
46 Cd 0.7189 0.7500 0.5347  4 O 2.33-2.56
47 O 0.9088 0.9978 0.7167  3 Al 1.81-1.82
48 O 0.7024 0.0020 0.1107  4 Al 1.82-2.01
49 O 0.5449 0.1339 0.8987  3 Al 1.83-2.03
50 O 0.8100 0.9973 0.9004  3 Al 1.81-1.97
51 O 0.4053 0.2500 0.7062  3 Al 1.88
52 O 0.4083 0.9995 0.7128  3 Al 1.78-1.82
53 O 0.6583 0.1247 0.7108  3 Al 1.78-1.82
54 O 0.3400 0.1311 0.2991  3 Al 1.83-1.88
55 O 0.5917 0.0005 0.2872  3 Al 1.78-1.82
56 O 0.2038 0.2500 0.1091  4 Al 1.84-1.99
57 O 0.4508 0.1325 0.0997  3 Al 1.82-2.03
58 O 0.0455 0.1177 0.8991  2 Al 1.82-1.91
59 O 0.0455 0.3823 0.8991  2 Al 1.82-1.91
60 O 0.3126 0.2500 0.8977  4 Al 1.82-2.04
61 O 0.9088 0.5022 0.7167  3 Al 1.81-1.82
62 O 0.9068 0.2500 0.7032  3 Al 1.78-1.84
63 O 0.1593 0.1234 0.7109  3 Al 1.78-1.82
64 O 0.1593 0.3766 0.7110  3 Al 1.78-1.82
65 O 0.0560 0.2500 0.4981  2 Al 1.75-1.76
66 O 0.8442 0.3744 0.2928  3 Al 1.77-1.84
67 O 0.8442 0.1256 0.2928  3 Al 1.77-1.84
68 O 0.0977 0.2500 0.2867  3 Al 1.81-1.86
69 O 0.0912 0.0022 0.2833  3 Al 1.81-1.82
70 O 0.7024 0.4980 0.1107  4 Al 1.82-2.01
71 O 0.6887 0.2500 0.0987  2 Al 1.82-1.90
72 O 0.9536 0.3814 0.0984  3 Al 1.82-2.01
73 O 0.9536 0.1186 0.0984  3 Al 1.82-2.01
74 O 0.5493 0.6326 0.9003  3 Al 1.82-2.03
75 O 0.5449 0.3660 0.8987  3 Al 1.83-2.03
76 O 0.8100 0.5027 0.9004  3 Al 1.81-1.97
77 O 0.7990 0.2500 0.8866  4 Al 1.83-2.01
78 O 0.4101 0.7500 0.7169  3 Al 1.81
79 O 0.4083 0.5005 0.7128  3 Al 1.78-1.82
80 O 0.6583 0.3753 0.7109  3 Al 1.78-1.82
81 O 0.6600 0.6311 0.7009  3 Al 1.83-1.88
82 O 0.5000 0.5000 0.5000  2 Al 1.68
83 O 0.3400 0.3689 0.2991  3 Al 1.83-1.88
84 O 0.3417 0.6247 0.2891  3 Al 1.78-1.82
85 O 0.5917 0.4995 0.2872  3 Al 1.78-1.82
86 O 0.5899 0.2500 0.2831  3 Al 1.81
87 O 0.2010 0.7500 0.1134  4 Al 1.83-2.01
88 O 0.1900 0.4973 0.0996  3 Al 1.81-1.97
89 O 0.4507 0.3674 0.0997  3 Al 1.82-2.03
90 O 0.4551 0.6340 0.1013  3 Al 1.83-2.03
91 O 0.0464 0.6186 0.9016  3 Al 1.82-2.01
92 O 0.0464 0.8814 0.9016  3 Al 1.82-2.01
93 O 0.3113 0.7500 0.9013  2 Al 1.82-1.90
94 O 0.2976 0.5020 0.8893  4 Al 1.82-2.01
95 O 0.9023 0.7500 0.7133  3 Al 1.81-1.86
96 O 0.1558 0.8744 0.7072  3 Al 1.77-1.84
97 O 0.1558 0.6256 0.7072  3 Al 1.77-1.84
98 O 0.9440 0.7500 0.5019  2 Al 1.75-1.76
99 O 0.8407 0.6234 0.2890  3 Al 1.78-1.82
100 O 0.8407 0.8766 0.2891  3 Al 1.78-1.82
101 O 0.0932 0.7500 0.2968  3 Al 1.78-1.84
102 O 0.0912 0.4978 0.2833  3 Al 1.81-1.82
103 O 0.6874 0.7500 0.1023  4 Al 1.82-2.04
104 O 0.9545 0.6177 0.1009  2 Al 1.82-1.91
105 O 0.9545 0.8823 0.1009  2 Al 1.82-1.91
106 O 0.5492 0.8675 0.9003  3 Al 1.82-2.03
107 O 0.7962 0.7500 0.8909  4 Al 1.84-1.99
108 O 0.6600 0.8689 0.7009  3 Al 1.83-1.88
109 O 0.5000 0.0000 0.5000  2 Al 1.68
110 O 0.3417 0.8753 0.2892  3 Al 1.78-1.82
111 O 0.5947 0.7500 0.2938  3 Al 1.88
112 O 0.1900 0.0027 0.0996  3 Al 1.81-1.97
113 O 0.4551 0.8661 0.1013  3 Al 1.83-2.03
114 O 0.2976 0.9980 0.8893  4 Al 1.82-2.01

[8]
An optimized crystal structure of AlCdO2. Source: Alexandria via LeMat-Bulk, functional PBE.

Results
Space-group type: Pna2_1
Energy relative to the lowest polymorph listed for this composition: 0 meV/atom
Raw formation energy: -1.987 eV/atom

abc: 4.9918 5.7365 7.5430
angles: 90.00 90.00 90.00
Closest atoms and distances in Å follow each position.
Positions (direct):
1 Al 0.0055 0.0058 0.8740  4 O 1.78-1.80
2 Al 0.5055 0.9942 0.1260  4 O 1.78-1.80
3 Al 0.5055 0.4942 0.3740  4 O 1.78-1.80
4 Al 0.0055 0.5058 0.6260  4 O 1.78-1.80
5 Cd 0.9761 0.0248 0.3908  3 O 2.43-2.65
6 Cd 0.4761 0.9752 0.6092  3 O 2.43-2.65
7 Cd 0.4761 0.4752 0.8908  3 O 2.43-2.65
8 Cd 0.9761 0.5248 0.1092  3 O 2.43-2.65
9 O 0.1142 0.2568 0.7520  2 Al 1.79-1.80
10 O 0.6142 0.7432 0.2480  2 Al 1.79-1.80
11 O 0.6142 0.2432 0.2520  2 Al 1.79-1.80
12 O 0.1142 0.7568 0.7480  2 Al 1.79-1.80
13 O 0.6539 0.0067 0.9095  2 Al 1.78-1.79
14 O 0.1539 0.9933 0.0905  2 Al 1.78-1.79
15 O 0.1539 0.4933 0.4095  2 Al 1.78-1.79
16 O 0.6539 0.5067 0.5905  2 Al 1.78-1.79